The following is a DFT calculation (PBE+U) of crystalline NiHgO2 at its relaxed geometry.

The structure in extended XYZ format:
```
4
Lattice="1.600 0.924 6.068 -1.600 0.924 6.068 0.000 -1.848 6.068" Properties=species:S:1:pos:R:3 pbc="T T T"
Ni 0.000 0.000 0.000
Hg 0.000 0.000 9.102
O 0.000 0.000 7.081
O 0.000 0.000 11.124
```

Output
Total magnetic moment: 2.000 μB/cell
Space group: R-3m, No. 166
D(E_F): 0.0 states/eV/cell
Total energy: -3.87 eV per atom

The following is a DFT calculation (PBE+U) of crystalline NiHgPO2 at its relaxed geometry.

The structure in extended XYZ format:
```
5
Lattice="3.737 0.000 0.000 0.000 3.737 0.000 0.000 0.000 4.872" Properties=species:S:1:pos:R:3 pbc="T T T"
Ni 0.000 0.000 0.000
Hg 1.868 1.868 2.436
P 0.000 0.000 2.436
O 0.000 1.868 0.000
O 1.868 0.000 0.000
```

Output
Total magnetic moment: 1.286 μB/cell
Space group: P4/mmm, No. 123
D(E_F): 4.0 states/eV/cell
Energy relative to the lowest polymorph listed for this composition: 0 meV per atom
Total energy: -3.38 eV per atom

The following is a DFT calculation (PBE+U) of crystalline NiHgP2O at its relaxed geometry.

The structure in extended XYZ format:
```
5
Lattice="4.715 0.000 0.000 0.000 4.715 0.000 0.000 0.000 3.512" Properties=species:S:1:pos:R:3 pbc="T T T"
Ni 0.000 0.000 0.000
Hg 2.357 2.357 1.756
P 0.000 2.357 0.000
P 2.357 0.000 0.000
O 0.000 0.000 1.756
```

Output
Total magnetic moment: 0.083 μB/cell
Space group: P4/mmm, No. 123
D(E_F): 2.9 states/eV/cell
Energy relative to the lowest polymorph listed for this composition: 0 meV per atom
Total energy: -3.21 eV per atom

The following is a DFT calculation (PBE+U) of crystalline NiHgPO4 at its relaxed geometry.

The structure in extended XYZ format:
```
14
Lattice="5.299 0.000 0.000 0.000 5.287 0.000 -1.529 0.000 7.209" Properties=species:S:1:pos:R:3 pbc="T T T"
Ni 0.460 1.322 3.467
Ni 3.309 3.965 3.741
Hg -1.152 1.322 6.645
Hg 4.922 3.965 0.564
P 0.823 3.965 4.654
P 2.947 1.322 2.555
O -0.123 2.725 4.839
O -0.123 5.205 4.839
O 1.337 3.965 3.185
O 1.673 1.322 1.681
O 2.096 3.965 5.527
O 2.433 1.322 4.023
O 3.893 0.082 2.369
O 3.893 2.561 2.369
```

Output
Total magnetic moment: 3.953 μB/cell
Space group: P2_1/m, No. 11
D(E_F): 2.8 states/eV/cell
Total energy: -5.38 eV per atom

The following is a DFT calculation (PBE+U) of crystalline NiHgP2O at its relaxed geometry.

The structure in extended XYZ format:
```
5
Lattice="5.080 0.000 0.000 0.000 5.080 0.000 0.000 0.000 4.021" Properties=species:S:1:pos:R:3 pbc="T T T"
Ni 0.000 0.000 0.000
Hg 2.540 2.540 2.011
P 0.000 2.540 2.011
P 2.540 0.000 2.011
O 2.540 2.540 0.000
```

Output
Total magnetic moment: 0.558 μB/cell
Space group: P4/mmm, No. 123
D(E_F): 5.1 states/eV/cell
Energy relative to the lowest polymorph listed for this composition: 855 meV per atom
Total energy: -2.36 eV per atom

The following is a DFT calculation (PBE+U) of crystalline NiHgPO2 at its relaxed geometry.

The structure in extended XYZ format:
```
5
Lattice="4.066 0.000 0.000 0.000 4.066 0.000 0.000 0.000 5.259" Properties=species:S:1:pos:R:3 pbc="T T T"
Ni 0.000 0.000 0.000
Hg 2.033 2.033 2.630
P 2.033 2.033 0.000
O 0.000 2.033 2.630
O 2.033 0.000 2.630
```

Output
Total magnetic moment: 1.639 μB/cell
Space group: P4/mmm, No. 123
D(E_F): 5.1 states/eV/cell
Energy relative to the lowest polymorph listed for this composition: 720 meV per atom
Total energy: -2.66 eV per atom

The following is a DFT calculation (PBE+U) of crystalline NiHgP2O8 at its relaxed geometry.

The structure in extended XYZ format:
```
12
Lattice="-3.441 3.441 3.030 3.441 -3.441 3.030 3.441 3.441 -3.030" Properties=species:S:1:pos:R:3 pbc="T T T"
Ni 0.000 0.000 0.000
Hg 0.000 3.441 1.515
P 3.441 0.000 1.515
P 0.000 0.000 3.030
O 2.205 0.000 0.560
O 4.676 0.000 0.560
O 3.441 2.291 -1.037
O 3.441 -1.236 2.470
O 0.000 1.150 1.993
O 3.441 1.236 2.470
O 2.291 3.441 1.037
O 1.150 0.000 4.067
```

Output
Total magnetic moment: 4.052 μB/cell
Space group: I-4m2, No. 119
D(E_F): 5.3 states/eV/cell
Total energy: -5.70 eV per atom

The following is a DFT calculation (PBE+U) of crystalline PaNiHg2O8 at its relaxed geometry.

The structure in extended XYZ format:
```
12
Lattice="-3.190 3.190 4.130 3.190 -3.190 4.130 3.190 3.190 -4.130" Properties=species:S:1:pos:R:3 pbc="T T T"
Pa 0.000 0.000 0.000
Ni 0.000 3.190 2.065
Hg 3.190 0.000 2.065
Hg 0.000 0.000 4.130
O 2.004 0.000 0.268
O 4.375 0.000 0.268
O 3.190 1.886 -1.914
O 3.190 -1.185 3.862
O 0.000 1.304 2.216
O 3.190 1.185 3.862
O 1.886 3.190 1.914
O 1.304 0.000 6.044
```

Output
Total magnetic moment: 3.517 μB/cell
Space group: I-4m2, No. 119
D(E_F): 7.0 states/eV/cell
Total energy: -5.12 eV per atom

The following is a DFT calculation (PBE+U) of crystalline PaNiHg2O6 at its relaxed geometry.

The structure in extended XYZ format:
```
10
Lattice="2.813 1.624 4.882 -2.813 1.624 4.882 0.000 -3.248 4.882" Properties=species:S:1:pos:R:3 pbc="T T T"
Pa 0.000 0.000 0.000
Ni 0.000 0.000 7.324
Hg 0.000 0.000 3.549
Hg 0.000 0.000 11.099
O -0.563 -1.560 6.168
O -1.632 -0.292 8.479
O -1.069 1.268 6.168
O 1.069 -1.268 8.479
O 1.632 0.292 6.168
O 0.563 1.560 8.479
```

Output
Total magnetic moment: 2.968 μB/cell
Space group: R-3, No. 148
Total energy: -5.65 eV per atom

The following is a DFT calculation (PBE+U) of crystalline Ni3Hg3PdO8 at its relaxed geometry.

The structure in extended XYZ format:
```
15
Lattice="5.424 -3.113 0.000 5.424 3.113 0.000 -5.339 0.000 5.884" Properties=species:S:1:pos:R:3 pbc="T T T"
Ni 0.000 0.000 0.000
Ni 2.712 1.556 0.000
Ni 2.712 -1.556 0.000
Hg 0.042 1.556 2.942
Hg 0.042 -1.556 2.942
Hg 2.754 0.000 2.942
Pd 5.424 0.000 0.000
O 0.920 1.528 4.836
O -1.658 0.000 4.832
O 1.851 0.000 1.078
O 4.588 1.528 1.048
O 0.920 -1.528 4.836
O 3.657 0.000 4.806
O 7.166 0.000 1.052
O 4.588 -1.528 1.048
```

Output
Total magnetic moment: 5.999 μB/cell
Space group: C2/m, No. 12
D(E_F): 0.2 states/eV/cell
Total energy: -4.14 eV per atom

The following is a DFT calculation (PBE+U) of crystalline Ni3Hg3PtO8 at its relaxed geometry.

The structure in extended XYZ format:
```
15
Lattice="5.428 -3.123 0.000 5.428 3.123 0.000 -5.354 0.000 5.916" Properties=species:S:1:pos:R:3 pbc="T T T"
Ni 0.000 0.000 0.000
Ni 2.714 1.562 0.000
Ni 2.714 -1.562 0.000
Hg 0.037 1.562 2.958
Hg 0.037 -1.562 2.958
Hg 2.751 0.000 2.958
Pt 5.428 0.000 0.000
O 0.904 1.533 4.871
O -1.670 0.000 4.855
O 1.864 0.000 1.078
O 4.598 1.533 1.046
O 0.904 -1.533 4.871
O 3.637 0.000 4.838
O 7.172 0.000 1.061
O 4.598 -1.533 1.046
```

Output
Total magnetic moment: 5.975 μB/cell
Space group: C2/m, No. 12
D(E_F): 0.6 states/eV/cell
Total energy: -4.23 eV per atom

The following is a DFT calculation (PBE+U) of crystalline PuNi2HgO6 at its relaxed geometry.

The structure in extended XYZ format:
```
10
Lattice="6.120 0.000 0.000 0.000 6.120 0.000 0.000 0.000 4.194" Properties=species:S:1:pos:R:3 pbc="T T T"
Pu 0.000 0.000 0.000
Ni 0.000 3.060 0.227
Ni 3.060 0.000 0.227
Hg 3.060 3.060 3.364
O 0.000 0.000 2.105
O 1.417 1.417 0.038
O 1.417 4.703 0.038
O 3.060 3.060 1.348
O 4.703 1.417 0.038
O 4.703 4.703 0.038
```

Output
Total magnetic moment: 5.114 μB/cell
Space group: P4mm, No. 99
D(E_F): 8.1 states/eV/cell
Total energy: -5.89 eV per atom